No. 1
VASP calculation (PBE-GGA) on crystalline CeDy2Tc at its relaxed geometry.

abc: 7.1536 9.5953 6.3227
angles: 90.00 90.00 90.00
Last column: nearest neighbours and their distance in Å.
Sites, in units of the cell vectors:
Ce 0.0550 0.2500 0.1419  2 Tc 2.38-2.64
Ce 0.4450 0.7500 0.6419  2 Tc 2.38-2.64
Ce 0.5550 0.2500 0.3581  2 Tc 2.38-2.64
Ce 0.9450 0.7500 0.8581  2 Tc 2.38-2.64
Dy 0.1768 0.0649 0.6701  3 Tc 3.06-3.22
Dy 0.1768 0.4351 0.6701  3 Tc 3.06-3.22
Dy 0.3232 0.5649 0.1701  3 Tc 3.06-3.22
Dy 0.3232 0.9351 0.1701  3 Tc 3.06-3.22
Dy 0.6768 0.0649 0.8299  3 Tc 3.06-3.22
Dy 0.6768 0.4351 0.8299  3 Tc 3.06-3.22
Dy 0.8232 0.5649 0.3299  3 Tc 3.06-3.22
Dy 0.8232 0.9351 0.3299  3 Tc 3.06-3.22
Tc 0.1360 0.7500 0.5015  2 Ce 2.38-2.64
Tc 0.3640 0.2500 0.0015  2 Ce 2.38-2.64
Tc 0.6360 0.7500 0.9985  2 Ce 2.38-2.64
Tc 0.8640 0.2500 0.4985  2 Ce 2.38-2.64

Output
V: 434 Å³/cell
Energy above the lowest structure with this stoichiometry: 0.000 eV per atom
Energy of formation from the pure elements: -0.176 eV/atom
SG: Pnma, No. 62

---

No. 2
VASP calculation (PBE-GGA) on crystalline Al2RhPb at its relaxed geometry.

abc: 5.0321 5.0321 5.0321
angles: 130.56 130.56 72.51
Last column: nearest neighbours and their distance in Å.
Sites, in units of the cell vectors:
Al 0.2500 0.7500 0.5000  4 Pb 2.92, 4 Rh 2.92, 4 Al 2.98
Al 0.7500 0.2500 0.5000  4 Pb 2.92, 4 Rh 2.92, 4 Al 2.98
Rh 0.0000 0.0000 0.0000  8 Al 2.92, 4 Pb 2.98
Pb 0.5000 0.5000 0.0000  8 Al 2.92, 4 Rh 2.98

Output
V: 72 Å³/cell
Energy of formation from the pure elements: 0.034 eV/atom
SG: I4/mmm, No. 139

---

No. 3
VASP calculation (PBE-GGA) on crystalline TbErPu2Se5 at its relaxed geometry.

abc: 5.1040 5.1040 10.7703
angles: 90.00 90.00 90.00
Last column: nearest neighbours and their distance in Å.
Sites, in units of the cell vectors:
Tb 0.0000 0.0000 0.0000  2 Se 2.64
Er 0.0000 0.0000 0.5000  6 Se 2.55-2.74
Pu 0.5000 0.5000 0.3077  9 Se 3.29-3.67
Pu 0.5000 0.5000 0.6923  9 Se 3.29-3.67
Se 0.0000 0.0000 0.2454  1 Tb 2.64, 1 Er 2.74
Se 0.0000 0.0000 0.7546  1 Tb 2.64, 1 Er 2.74
Se 0.0000 0.5000 0.5000  2 Er 2.55
Se 0.5000 0.0000 0.5000  2 Er 2.55
Se 0.5000 0.5000 0.0000  2 Pu 3.31, 4 Tb 3.61

Output
V: 281 Å³/cell
Uncorrected formation energy: -1.171 eV/atom
SG: P4/mmm, No. 123

---

No. 4
VASP calculation (PBE-GGA) on crystalline RbCu2PtS at its relaxed geometry.

abc: 5.0970 5.0970 5.1383
angles: 90.00 90.00 90.00
Last column: nearest neighbours and their distance in Å.
Sites, in units of the cell vectors:
Rb 0.0000 0.0000 0.0000  4 Cu 2.55, 2 Pt 2.57
Cu 0.0000 0.5000 0.0000  2 Rb 2.55
Cu 0.5000 0.0000 0.0000  2 Rb 2.55
Pt 0.0000 0.0000 0.5000  2 Rb 2.57
S 0.5000 0.5000 0.5000  4 Pt 3.60, 8 Cu 3.62

Output
V: 133 Å³/cell
Uncorrected formation energy: 2.031 eV/atom
SG: P4/mmm, No. 123

---

No. 5
VASP calculation (PBE-GGA) on crystalline Ca2TlIO6 at its relaxed geometry.

abc: 6.2740 6.2740 6.2740
angles: 55.42 55.42 55.42
Last column: nearest neighbours and their distance in Å.
Sites, in units of the cell vectors:
Ca 0.0000 0.0000 0.0000  6 O 2.30-2.51
Ca 0.4993 0.4993 0.4993  6 O 2.37-2.46
Tl 0.7628 0.7628 0.7628  3 O 2.14
I 0.2900 0.2900 0.2900  3 O 1.93
O 0.1024 0.6899 0.3965  1 Tl 2.14, 2 Ca 2.30-2.37
O 0.1999 0.5422 0.9580  1 I 1.93
O 0.3965 0.1024 0.6899  1 Tl 2.14, 2 Ca 2.30-2.37
O 0.5422 0.9580 0.1999  1 I 1.93
O 0.6899 0.3965 0.1024  1 Tl 2.14, 2 Ca 2.30-2.37
O 0.9580 0.1999 0.5422  1 I 1.93

Output
V: 156 Å³/cell
Uncorrected formation energy: -1.490 eV/atom
SG: R3, No. 146

---

No. 6
VASP calculation (PBE-GGA) on crystalline LaLuMgPa at its relaxed geometry.

abc: 5.4195 5.4195 5.4195
angles: 60.00 60.00 60.00
Last column: nearest neighbours and their distance in Å.
Sites, in units of the cell vectors:
La 0.0000 0.0000 0.0000  4 Pa 3.32, 4 Mg 3.32
Lu 0.5000 0.5000 0.5000  4 Pa 3.32, 4 Mg 3.32
Mg 0.2500 0.2500 0.2500  4 La 3.32, 4 Lu 3.32
Pa 0.7500 0.7500 0.7500  4 La 3.32, 4 Lu 3.32

Output
V: 113 Å³/cell
Energy of formation from the pure elements: 0.339 eV/atom
SG: F-43m, No. 216

---

No. 7
VASP calculation (PBE-GGA) on crystalline CoRh2 at its relaxed geometry.

abc: 7.0709 7.0709 2.7084
angles: 90.00 90.00 143.12
Last column: nearest neighbours and their distance in Å.
Sites, in units of the cell vectors:
Co 0.1564 0.8436 0.0000  8 Rh 2.50-2.64, 2 Co 2.71
Co 0.8436 0.1564 0.0000  8 Rh 2.50-2.64, 2 Co 2.71
Rh 0.0000 0.0000 0.5000  4 Co 2.50, 6 Rh 2.61-2.71
Rh 0.3176 0.6824 0.5000  6 Co 2.55-2.64, 4 Rh 2.71-2.80
Rh 0.5000 0.5000 0.0000  10 Rh 2.61-2.80
Rh 0.6824 0.3176 0.5000  6 Co 2.55-2.64, 4 Rh 2.71-2.80

Output
V: 81 Å³/cell
Energy of formation from the pure elements: 0.194 eV/atom
SG: Cmmm, No. 65

---

No. 8
VASP calculation (PBE-GGA) on crystalline NiAuC at its relaxed geometry.

abc: 5.4162 5.4162 5.4162
angles: 150.60 150.60 42.07
Last column: nearest neighbours and their distance in Å.
Sites, in units of the cell vectors:
Ni 0.0000 0.0000 0.0000  4 C 1.96
Au 0.7390 0.7390 0.0000  1 C 2.17
C 0.5248 0.5248 0.0000  4 Ni 1.96, 1 Au 2.17

Output
V: 38 Å³/cell
Energy above the lowest structure with this stoichiometry: 0.078 eV per atom
Energy of formation from the pure elements: 0.770 eV/atom
SG: I4mm, No. 107